DFT (GGA+U) results for a relaxed structure of ScVF3.

Unit cell a=4.2039 b=4.2039 c=4.2039 alpha=90.00 beta=90.00 gamma=90.00
Last column: nearest neighbours and their distance in Å.
Element x y z (fractional)
Sc1 0.0000 0.0000 0.0000  12 F 2.97
V1 0.5000 0.5000 0.5000  6 F 2.10
F1 0.0000 0.5000 0.5000  2 V 2.10
F2 0.5000 0.0000 0.5000  2 V 2.10
F3 0.5000 0.5000 0.0000  2 V 2.10

- Raw total energy: -5.8602 eV/atom
- M_tot: 4.7 μB/f.u.

***

DFT (GGA+U) results for a relaxed structure of ScV2F.

Unit cell a=4.7789 b=4.7789 c=4.7789 alpha=60.00 beta=60.00 gamma=60.00
Last column: nearest neighbours and their distance in Å.
Element x y z (fractional)
Sc1 0.0000 0.0000 0.0000  8 V 2.93
V1 0.2500 0.2500 0.2500  4 F 2.93, 4 Sc 2.93
V2 0.7500 0.7500 0.7500  4 F 2.93, 4 Sc 2.93
F1 0.5000 0.5000 0.5000  8 V 2.93

- Raw total energy: -5.0816 eV/atom
- M_tot: 9.0 μB/f.u.
- Energy relative to the lowest polymorph listed for this composition: 387 meV/atom